A geometry-optimized RbBPd3 structure. Source: Alexandria, functional GGA-PBE.

a b c (Å): 5.1685 5.1685 5.1685
angles (deg): 90.00 90.00 90.00
Closest atoms and distances in Å follow each position.
Fractional positions:
B (0.5000, 0.5000, 0.5000)  12 Pd 3.65
Rb (0.0000, 0.0000, 0.0000)  6 Pd 2.58
Pd (0.0000, 0.5000, 0.0000)  2 Rb 2.58
Pd (0.0000, 0.0000, 0.5000)  2 Rb 2.58
Pd (0.5000, 0.0000, 0.0000)  2 Rb 2.58

Computed properties:
- Total magnetization: 0.000 μB/atom
- Calculated formation energy: 2.31 eV/atom
- Excess energy over the best structure of this formula in the dataset: 2254 meV/atom